No. 1
# CeTm5Ir4, optimized geometry, DFT GGA-PBE
data_CeTm5Ir4
_chemical_formula_sum 'Ce2 Tm10 Ir8'
_symmetry_space_group_name_H-M 'C 1 2/m 1'
_symmetry_Int_Tables_number 12
_symmetry_space_group_name_Hall '-C 2y'
_cell_length_a 18.037
_cell_length_b 4.146
_cell_length_c 7.394
_cell_angle_alpha 90.00
_cell_angle_beta 114.14
_cell_angle_gamma 90.00
loop_
_atom_site_label
_atom_site_fract_x
_atom_site_fract_y
_atom_site_fract_z
_atom_site_occupancy
Ce1 0.000 0.000 0.000 1
Tm1 0.000 0.000 0.500 1
Tm2 0.166 0.500 0.410 1
Tm3 0.167 0.500 0.924 1
Ir1 0.000 0.500 0.253 1
Ir2 0.201 0.000 0.202 1
# **Fermi-level density of states**: 0.67 states/eV/atom
# **Calculated density**: 11.54 g cm⁻³
# **Formation energy from the elements**: -721 meV per atom

=====

No. 2
# Sr2MnPdN, optimized geometry, DFT GGA-PBE
data_Sr2MnPdN
_chemical_formula_sum 'Sr2 Mn1 Pd1 N1'
_symmetry_space_group_name_H-M 'P 4/m m m'
_symmetry_Int_Tables_number 123
_symmetry_space_group_name_Hall '-P 4 2'
_cell_length_a 6.016
_cell_length_b 6.016
_cell_length_c 3.835
_cell_angle_alpha 90.00
_cell_angle_beta 90.00
_cell_angle_gamma 90.00
loop_
_atom_site_label
_atom_site_fract_x
_atom_site_fract_y
_atom_site_fract_z
_atom_site_occupancy
Sr1 0.000 0.500 0.000 1
Mn1 0.000 0.000 0.500 1
Pd1 0.500 0.500 0.000 1
N1 0.500 0.500 0.500 1
# **Energy relative to the lowest polymorph listed for this composition**: 886 meV per atom
# **Fermi-level density of states**: 1.07 states/eV/atom
# **Uncorrected formation energy**: 0.446 eV/atom
# **Calculated density**: 4.19 g cm⁻³

=====

No. 3
# Tl2CdIn8, optimized geometry, DFT GGA-PBE
data_Tl2CdIn8
_chemical_formula_sum 'Tl2 Cd1 In8'
_symmetry_space_group_name_H-M 'P 4/m m m'
_symmetry_Int_Tables_number 123
_symmetry_space_group_name_Hall '-P 4 2'
_cell_length_a 4.712
_cell_length_b 4.712
_cell_length_c 13.990
_cell_angle_alpha 90.00
_cell_angle_beta 90.00
_cell_angle_gamma 90.00
loop_
_atom_site_label
_atom_site_fract_x
_atom_site_fract_y
_atom_site_fract_z
_atom_site_occupancy
Tl1 0.000 0.000 0.178 1
Cd1 0.000 0.000 0.500 1
In1 0.000 0.500 0.000 1
In2 0.000 0.500 0.360 1
In3 0.500 0.500 0.187 1
# **Energy relative to the lowest polymorph listed for this composition**: 15 meV per atom
# **Fermi-level density of states**: 0.46 states/eV/atom
# **Calculated density**: 7.70 g cm⁻³
# **Formation energy from the elements**: 44 meV per atom

=====

No. 4
# Ge2BiRu2, optimized geometry, DFT GGA-PBE
data_Ge2BiRu2
_chemical_formula_sum 'Ge4 Bi2 Ru4'
_symmetry_space_group_name_H-M 'I 4/m m m'
_symmetry_Int_Tables_number 139
_symmetry_space_group_name_Hall '-I 4 2'
_cell_length_a 3.800
_cell_length_b 3.800
_cell_length_c 12.446
_cell_angle_alpha 90.00
_cell_angle_beta 90.00
_cell_angle_gamma 90.00
loop_
_atom_site_label
_atom_site_fract_x
_atom_site_fract_y
_atom_site_fract_z
_atom_site_occupancy
Ge1 0.000 0.500 0.250 1
Bi1 0.000 0.000 0.000 1
Ru1 0.000 0.000 0.382 1
# **Fermi-level density of states**: 0.41 states/eV/atom
# **Calculated density**: 10.28 g cm⁻³
# **Formation energy from the elements**: 6 meV per atom

=====

No. 5
# VFeCl2, optimized geometry, DFT GGA-PBE
data_VFeCl2
_chemical_formula_sum 'V4 Fe4 Cl8'
_symmetry_space_group_name_H-M 'I -4 2 d'
_symmetry_Int_Tables_number 122
_symmetry_space_group_name_Hall 'I -4 2bw'
_cell_length_a 5.381
_cell_length_b 5.381
_cell_length_c 10.867
_cell_angle_alpha 90.00
_cell_angle_beta 90.00
_cell_angle_gamma 90.00
loop_
_atom_site_label
_atom_site_fract_x
_atom_site_fract_y
_atom_site_fract_z
_atom_site_occupancy
V1 0.000 0.000 0.000 1
Fe1 0.000 0.000 0.500 1
Cl1 0.234 0.250 0.625 1
# **Fermi-level density of states**: 1.67 states/eV/atom
# **Uncorrected formation energy**: 0.219 eV/atom
# **Calculated density**: 3.75 g cm⁻³

=====

No. 6
# Tb2Co2B3, optimized geometry, DFT GGA-PBE
data_Tb2Co2B3
_chemical_formula_sum 'Tb4 Co4 B6'
_symmetry_space_group_name_H-M 'C 1 2/m 1'
_symmetry_Int_Tables_number 12
_symmetry_space_group_name_Hall '-C 2y'
_cell_length_a 9.549
_cell_length_b 3.810
_cell_length_c 5.819
_cell_angle_alpha 90.00
_cell_angle_beta 113.48
_cell_angle_gamma 90.00
loop_
_atom_site_label
_atom_site_fract_x
_atom_site_fract_y
_atom_site_fract_z
_atom_site_occupancy
Tb1 0.113 0.000 0.296 1
Co1 0.206 0.000 0.861 1
B1 0.000 0.500 0.500 1
B2 0.124 0.500 0.796 1
# **Fermi-level density of states**: 0.63 states/eV/atom
# **Calculated density**: 8.01 g cm⁻³
# **Formation energy from the elements**: -266 meV per atom

=====

No. 7
# Pm9NdTl2, optimized geometry, DFT GGA-PBE
data_Pm9NdTl2
_chemical_formula_sum 'Pm9 Nd1 Tl2'
_symmetry_space_group_name_H-M 'P 4/m m m'
_symmetry_Int_Tables_number 123
_symmetry_space_group_name_Hall '-P 4 2'
_cell_length_a 4.989
_cell_length_b 4.989
_cell_length_c 15.387
_cell_angle_alpha 90.00
_cell_angle_beta 90.00
_cell_angle_gamma 90.00
loop_
_atom_site_label
_atom_site_fract_x
_atom_site_fract_y
_atom_site_fract_z
_atom_site_occupancy
Pm1 0.000 0.000 0.000 1
Pm2 0.000 0.000 0.339 1
Pm3 0.000 0.500 0.175 1
Pm4 0.000 0.500 0.500 1
Nd1 0.500 0.500 0.000 1
Tl1 0.500 0.500 0.339 1
# **Fermi-level density of states**: 1.25 states/eV/atom
# **Calculated density**: 8.05 g cm⁻³
# **Formation energy from the elements**: -121 meV per atom

=====

No. 8
# ZnSnGe, optimized geometry, DFT GGA-PBE
data_ZnSnGe
_chemical_formula_sum 'Zn1 Sn1 Ge1'
_symmetry_space_group_name_H-M 'P 3 m 1'
_symmetry_Int_Tables_number 156
_symmetry_space_group_name_Hall 'P 3 -2"'
_cell_length_a 4.7813
_cell_length_b 4.7813
_cell_length_c 3.2192
_cell_angle_alpha 90.00
_cell_angle_beta 90.00
_cell_angle_gamma 120.00
loop_
_atom_site_label
_atom_site_fract_x
_atom_site_fract_y
_atom_site_fract_z
_atom_site_occupancy
Zn1 0.0000 0.0000 0.0000 1
Sn1 0.6667 0.3333 0.4991 1
Ge1 0.3333 0.6667 0.0021 1
# **Energy relative to the lowest polymorph listed for this composition**: 50 meV per atom
# **Fermi-level density of states**: 0.27 states/eV/atom
# **Calculated density**: 6.69 g cm⁻³
# **Formation energy from the elements**: 192 meV per atom

=====

Respective total magnetization values: 0.000, 4.041, 0.000, 0.000, 5.537, 0.000, 0.000, 0.000 μB/f.u..
Respective total energy values: -141.9, -23.8, -27.1, -63.3, -81.6, -90.7, -53.7, -9.3 eV for the cell shown.